Record 1
## RbHg (PBE)

Data for RbHg after structural relaxation.

a = 7.9886 Å, b = 7.9886 Å, c = 7.9886 Å
α = 90.00°, β = 90.00°, γ = 90.00°
Space group F-43m (No. 216)
Unique sites:
Rb (0.0000, 0.0000, 0.0000) (multiplicity 4)
Hg (0.2500, 0.2500, 0.2500) (multiplicity 4)

Results
E_tot: -4.45 eV per cell

=====

Record 2
## Pr3InAgHg2Ir2 (PBE)

Data for Pr3InAgHg2Ir2 after structural relaxation.

a = 3.9876 Å, b = 13.6813 Å, c = 7.8322 Å
α = 90.00°, β = 90.00°, γ = 90.00°
Space group Amm2 (No. 38)
Unique sites:
Pr (0.0000, 0.0000, 0.0000) (multiplicity 2)
Pr (0.0000, 0.2085, 0.3860) (multiplicity 4)
In (0.5000, 0.0000, 0.3283) (multiplicity 2)
Ag (0.0000, 0.0000, 0.5857) (multiplicity 2)
Hg (0.5000, 0.1328, 0.7231) (multiplicity 4)
Ir (0.5000, 0.1615, 0.1013) (multiplicity 4)

Results
E_tot: -85.42 eV per cell

=====

Record 3
## TbTlIn (PBE)

Data for TbTlIn after structural relaxation.

a = 4.6682 Å, b = 14.6406 Å, c = 4.6399 Å
α = 90.00°, β = 90.00°, γ = 90.00°
Space group Cmmm (No. 65)
Unique sites:
Tb (0.0000, 0.1534, 0.0000) (multiplicity 4)
Tl (0.0000, 0.3272, 0.5000) (multiplicity 4)
In (0.0000, 0.0000, 0.5000) (multiplicity 2)
In (0.0000, 0.5000, 0.0000) (multiplicity 2)

Results
ΔE to the lowest computed polymorph: 0.017 eV per atom

=====

Record 4
## TaCdAu (PBE)

Data for TaCdAu after structural relaxation.

a = 6.4110 Å, b = 6.4110 Å, c = 6.4110 Å
α = 90.00°, β = 90.00°, γ = 90.00°
Space group F-43m (No. 216)
Unique sites:
Ta (0.0000, 0.0000, 0.0000) (multiplicity 4)
Cd (0.2500, 0.2500, 0.2500) (multiplicity 4)
Au (0.2500, 0.2500, 0.7500) (multiplicity 4)

Results
ΔE to the lowest computed polymorph: 0.349 eV per atom
ΔH_f (0 K): 0.67 eV/atom

=====

Record 5
## ErTlCdTe3 (PBE)

Data for ErTlCdTe3 after structural relaxation.

a = 8.7789 Å, b = 4.4515 Å, c = 11.2173 Å
α = 90.00°, β = 107.67°, γ = 90.00°
Space group P2_1/m (No. 11)
Unique sites:
Er (0.1861, 0.2500, 0.1397) (multiplicity 2)
Tl (0.2444, 0.7500, 0.7193) (multiplicity 2)
Cd (0.4238, 0.7500, 0.3885) (multiplicity 2)
Te (0.0550, 0.2500, 0.8573) (multiplicity 2)
Te (0.2436, 0.2500, 0.4395) (multiplicity 2)
Te (0.4309, 0.7500, 0.1397) (multiplicity 2)

Results
ΔE to the lowest computed polymorph: 0.008 eV per atom

=====

Record 6
## MgCdSO (PBE)

Data for MgCdSO after structural relaxation.

a = 3.8796 Å, b = 3.8796 Å, c = 8.8027 Å
α = 90.00°, β = 90.00°, γ = 90.00°
Space group P4/nmm (No. 129, origin choice 2)
Unique sites:
Mg (0.2500, 0.2500, 0.0459) (multiplicity 2)
Cd (0.2500, 0.2500, 0.6522) (multiplicity 2)
S (0.2500, 0.2500, 0.3482) (multiplicity 2)
O (0.2500, 0.7500, 0.0000) (multiplicity 2)

Results
ΔE to the lowest computed polymorph: 0.125 eV per atom

=====

Record 7
## TmHf3C2S2 (PBE)

Data for TmHf3C2S2 after structural relaxation.

a = 3.4292 Å, b = 3.4292 Å, c = 12.2486 Å
α = 90.00°, β = 90.00°, γ = 120.00°
Space group P3m1 (No. 156)
Unique sites:
Tm (0.0000, 0.0000, 0.0000) (multiplicity 1)
Hf (0.0000, 0.0000, 0.3024) (multiplicity 1)
Hf (0.6667, 0.3333, 0.4972) (multiplicity 1)
Hf (0.6667, 0.3333, 0.7924) (multiplicity 1)
C (0.3333, 0.6667, 0.4002) (multiplicity 1)
C (0.3333, 0.6667, 0.8854) (multiplicity 1)
S (0.0000, 0.0000, 0.6438) (multiplicity 1)
S (0.6667, 0.3333, 0.1590) (multiplicity 1)

Results
E_tot: -71.62 eV per cell

=====

Record 8
## SmEr2Sb3 (PBE)

Data for SmEr2Sb3 after structural relaxation.

a = 4.3895 Å, b = 4.3895 Å, c = 10.7507 Å
α = 90.00°, β = 90.00°, γ = 120.00°
Space group P-3m1 (No. 164)
Unique sites:
Sm (0.0000, 0.0000, 0.0000) (multiplicity 1)
Er (0.3333, 0.6667, 0.3363) (multiplicity 2)
Sb (0.0000, 0.0000, 0.5000) (multiplicity 1)
Sb (0.3333, 0.6667, 0.8268) (multiplicity 2)

Results
E_tot: -32.93 eV per cell